## a
DFT (GGA-PBE) results for a geometry-optimized CsCuPt2 structure.

Output
DOS at the Fermi energy (states/eV/atom): 0.190

Cell: 6.8760 6.8760 6.8760 Å, 90.00 90.00 90.00°
Last column: nearest neighbours and their distance in Å.
Space group Fm-3m (No. 225)
Asymmetric unit:
Cs  0.0000  0.0000  0.0000 x4  8 Pt 2.98
Cu  0.0000  0.0000  0.5000 x4  8 Pt 2.98
Pt  0.2500  0.2500  0.2500 x8  4 Cu 2.98, 4 Cs 2.98

=====

## b
DFT (GGA-PBE) results for a geometry-optimized CsCuPt2 structure.

Output
DOS at the Fermi energy (states/eV/atom): 0.794

Cell: 5.1496 5.1496 17.2260 Å, 90.00 90.00 90.00°
Last column: nearest neighbours and their distance in Å.
Space group I4_1/amd (No. 141, origin choice 2)
Asymmetric unit:
Cs  0.0000  0.2500  0.3750 x4  8 Pt 3.59, 4 Cu 3.64
Cu  0.0000  0.2500  0.8750 x4  4 Pt 2.51
Pt  0.0000  0.0000  0.0000 x8  2 Cu 2.51, 2 Pt 2.57

=====

Relative energies in meV per atom: a 658; b 0

=====

## a
DFT (GGA-PBE) results for a geometry-optimized CsCu2Pt structure.

Output
DOS at the Fermi energy (states/eV/atom): 0.392

Cell: 4.3751 4.3751 18.7302 Å, 90.00 90.00 120.00°
Last column: nearest neighbours and their distance in Å.
Space group R-3m (No. 166, hexagonal axes)
Asymmetric unit:
Cs  0.0000  0.0000  0.0000 x3  2 Cu 3.27
Cu  0.0000  0.0000  0.1746 x6  3 Pt 2.53, 3 Cu 2.54
Pt  0.0000  0.0000  0.5000 x3  6 Cu 2.53

=====

## b
DFT (GGA-PBE) results for a geometry-optimized CsCu2Pt structure.

Output
DOS at the Fermi energy (states/eV/atom): 0.377

Cell: 6.8821 6.8821 6.8821 Å, 90.00 90.00 90.00°
Last column: nearest neighbours and their distance in Å.
Space group Fm-3m (No. 225)
Asymmetric unit:
Cs  0.0000  0.0000  0.0000 x4  8 Cu 2.98
Cu  0.2500  0.2500  0.2500 x8  4 Cs 2.98, 4 Pt 2.98
Pt  0.0000  0.0000  0.5000 x4  8 Cu 2.98

=====

Relative energies in meV per atom: a 0; b 861

=====

## a
DFT (GGA-PBE) results for a geometry-optimized Cs3RbCu structure.

Output
DOS at the Fermi energy (states/eV/atom): 1.185

Cell: 7.4078 7.4078 7.4078 Å, 90.00 90.00 90.00°
Last column: nearest neighbours and their distance in Å.
Space group Pm-3m (No. 221)
Asymmetric unit:
Cs  0.0000  0.0000  0.5000 x3  2 Cu 3.70
Rb  0.5000  0.5000  0.5000 x1  12 Cs 5.24
Cu  0.0000  0.0000  0.0000 x1  6 Cs 3.70

=====

## b
DFT (GGA-PBE) results for a geometry-optimized Cs3RbCu structure.

Output
DOS at the Fermi energy (states/eV/atom): 1.155

Cell: 8.4884 8.4884 8.4884 Å, 90.00 90.00 90.00°
Last column: nearest neighbours and their distance in Å.
Space group Pm-3m (No. 221)
Asymmetric unit:
Cs  0.0000  0.0000  0.5000 x3  2 Rb 4.24
Rb  0.0000  0.0000  0.0000 x1  6 Cs 4.24
Cu  0.5000  0.5000  0.5000 x1  none within 6

=====

Relative energies in meV per atom: a 0; b 447

=====

## a
DFT (GGA-PBE) results for a geometry-optimized Cs2RbCu structure.

Output
DOS at the Fermi energy (states/eV/atom): 0.385

Cell: 12.6657 12.6657 7.3644 Å, 90.00 90.00 90.00°
Last column: nearest neighbours and their distance in Å.
Space group I-42d (No. 122)
Asymmetric unit:
Cs  0.1202  0.2500  0.1250 x8  2 Cu 3.63
Rb  0.0000  0.0000  0.5000 x4  2 Cu 3.68
Cu  0.0000  0.0000  0.0000 x4  4 Cs 3.63, 2 Rb 3.68

=====

## b
DFT (GGA-PBE) results for a geometry-optimized Cs2RbCu structure.

Output
DOS at the Fermi energy (states/eV/atom): 0.321

Cell: 9.9224 9.9224 9.9224 Å, 90.00 90.00 90.00°
Last column: nearest neighbours and their distance in Å.
Space group Fm-3m (No. 225)
Asymmetric unit:
Cs  0.2500  0.2500  0.2500 x8  4 Rb 4.30, 4 Cu 4.30
Rb  0.0000  0.0000  0.0000 x4  8 Cs 4.30
Cu  0.0000  0.0000  0.5000 x4  8 Cs 4.30

=====

Relative energies in meV per atom: a 0; b 90

=====

## a
DFT (GGA-PBE) results for a geometry-optimized CsCuRe3 structure.

Output
DOS at the Fermi energy (states/eV/atom): 1.401

Cell: 4.8953 4.8953 4.8953 Å, 90.00 90.00 90.00°
Last column: nearest neighbours and their distance in Å.
Space group Pm-3m (No. 221)
Asymmetric unit:
Cs  0.0000  0.0000  0.0000 x1  6 Re 2.45
Cu  0.5000  0.5000  0.5000 x1  12 Re 3.46
Re  0.0000  0.0000  0.5000 x3  2 Cs 2.45

=====

## b
DFT (GGA-PBE) results for a geometry-optimized CsCuRe3 structure.

Output
DOS at the Fermi energy (states/eV/atom): 1.495

Cell: 4.7575 4.7575 4.7575 Å, 90.00 90.00 90.00°
Last column: nearest neighbours and their distance in Å.
Space group Pm-3m (No. 221)
Asymmetric unit:
Cs  0.0000  0.0000  0.0000 x1  12 Re 3.36
Cu  0.5000  0.5000  0.5000 x1  6 Re 2.38
Re  0.0000  0.5000  0.5000 x3  2 Cu 2.38

=====

Relative energies in meV per atom: a 1585; b 0

=====

## a
DFT (GGA-PBE) results for a geometry-optimized CsCuRh3 structure.

Output
DOS at the Fermi energy (states/eV/atom): 1.386

Cell: 4.7685 4.7685 4.7685 Å, 90.00 90.00 90.00°
Last column: nearest neighbours and their distance in Å.
Space group Pm-3m (No. 221)
Asymmetric unit:
Cs  0.0000  0.0000  0.0000 x1  12 Rh 3.37
Cu  0.5000  0.5000  0.5000 x1  6 Rh 2.38
Rh  0.0000  0.5000  0.5000 x3  2 Cu 2.38

=====

## b
DFT (GGA-PBE) results for a geometry-optimized CsCuRh3 structure.

Output
DOS at the Fermi energy (states/eV/atom): 1.726

Cell: 4.9195 4.9195 4.9195 Å, 90.00 90.00 90.00°
Last column: nearest neighbours and their distance in Å.
Space group Pm-3m (No. 221)
Asymmetric unit:
Cs  0.0000  0.0000  0.0000 x1  6 Rh 2.46
Cu  0.5000  0.5000  0.5000 x1  12 Rh 3.48
Rh  0.0000  0.0000  0.5000 x3  2 Cs 2.46

=====

Relative energies in meV per atom: a 0; b 1077

=====

## a
DFT (GGA-PBE) results for a geometry-optimized Cs2CuRh structure.

Output
DOS at the Fermi energy (states/eV/atom): 1.213

Cell: 8.1052 8.1052 8.1052 Å, 90.00 90.00 90.00°
Last column: nearest neighbours and their distance in Å.
Space group Fm-3m (No. 225)
Asymmetric unit:
Cs  0.2500  0.2500  0.2500 x8  4 Rh 3.51, 4 Cu 3.51
Cu  0.0000  0.0000  0.0000 x4  8 Cs 3.51
Rh  0.0000  0.0000  0.5000 x4  8 Cs 3.51

=====

## b
DFT (GGA-PBE) results for a geometry-optimized Cs2CuRh structure.

Output
DOS at the Fermi energy (states/eV/atom): 0.999

Cell: 12.3017 12.3017 4.9104 Å, 90.00 90.00 90.00°
Last column: nearest neighbours and their distance in Å.
Space group I-42d (No. 122)
Asymmetric unit:
Cs  0.0040  0.2500  0.1250 x8  2 Rh 3.14
Cu  0.0000  0.0000  0.5000 x4  2 Rh 2.46
Rh  0.0000  0.0000  0.0000 x4  2 Cu 2.46

=====

Relative energies in meV per atom: a 460; b 0

=====

## a
DFT (GGA-PBE) results for a geometry-optimized CsCuRu2 structure.

Output
DOS at the Fermi energy (states/eV/atom): 1.680

Cell: 6.5403 6.5403 6.5403 Å, 90.00 90.00 90.00°
Last column: nearest neighbours and their distance in Å.
Space group Fm-3m (No. 225)
Asymmetric unit:
Cs  0.0000  0.0000  0.0000 x4  8 Ru 2.83
Cu  0.0000  0.0000  0.5000 x4  8 Ru 2.83
Ru  0.2500  0.2500  0.2500 x8  4 Cu 2.83, 4 Cs 2.83

=====

## b
DFT (GGA-PBE) results for a geometry-optimized CsCuRu2 structure.

Output
DOS at the Fermi energy (states/eV/atom): 1.052

Cell: 4.4112 4.4112 19.0774 Å, 90.00 90.00 90.00°
Last column: nearest neighbours and their distance in Å.
Space group I-42d (No. 122)
Asymmetric unit:
Cs  0.0000  0.0000  0.0000 x4  4 Cu 3.12, 4 Ru 3.15
Cu  0.0000  0.0000  0.5000 x4  4 Ru 2.67
Ru  0.1080  0.2500  0.6250 x8  2 Ru 2.40, 2 Cu 2.67

=====

Relative energies in meV per atom: a 377; b 0

=====

## a
DFT (GGA-PBE) results for a geometry-optimized CsCuS3 structure.

Output
DOS at the Fermi energy (states/eV/atom): 1.123

Cell: 5.4655 5.4655 5.4655 Å, 90.00 90.00 90.00°
Last column: nearest neighbours and their distance in Å.
Space group Pm-3m (No. 221)
Asymmetric unit:
Cs  0.0000  0.0000  0.0000 x1  6 S 2.73
Cu  0.5000  0.5000  0.5000 x1  12 S 3.86
S  0.0000  0.0000  0.5000 x3  2 Cs 2.73

=====

## b
DFT (GGA-PBE) results for a geometry-optimized CsCuS3 structure.

Output
DOS at the Fermi energy (states/eV/atom): 1.003

Cell: 4.7885 4.7885 4.7885 Å, 90.00 90.00 90.00°
Last column: nearest neighbours and their distance in Å.
Space group Pm-3m (No. 221)
Asymmetric unit:
Cs  0.0000  0.0000  0.0000 x1  12 S 3.39
Cu  0.5000  0.5000  0.5000 x1  6 S 2.39
S  0.0000  0.5000  0.5000 x3  2 Cu 2.39

=====

Relative energies in meV per atom: a 1507; b 0

=====

## a
DFT (GGA-PBE) results for a geometry-optimized CsCuS4 structure.

Output
DOS at the Fermi energy (states/eV/atom): 0.000

Cell: 5.2818 9.1038 13.9891 Å, 90.00 90.00 90.00°
Last column: nearest neighbours and their distance in Å.
Space group P2_12_12_1 (No. 19)
Asymmetric unit:
Cs  0.1778  0.0816  0.3385 x4  8 S 3.55-3.92
Cu  0.0348  0.1442  0.0612 x4  4 S 2.30-2.35
S  0.0597  0.5609  0.9243 x4  2 S 2.05-2.14
S  0.1162  0.7097  0.5891 x4  1 S 2.10, 2 Cu 2.31-2.33
S  0.1496  0.3584  0.8544 x4  2 S 2.10-2.14, 1 Cu 2.35
S  0.1786  0.9129  0.0993 x4  1 S 2.05

=====

## b
DFT (GGA-PBE) results for a geometry-optimized CsCuS4 structure.

Output
DOS at the Fermi energy (states/eV/atom): 0.738

Cell: 8.3649 8.3649 10.9882 Å, 90.00 90.00 90.00°
Last column: nearest neighbours and their distance in Å.
Space group I4_1/a (No. 88, origin choice 2)
Asymmetric unit:
Cs  0.0000  0.2500  0.1250 x4  8 S 3.66-3.92
Cu  0.0000  0.2500  0.6250 x4  4 S 2.26
S  0.0540  0.3641  0.4435 x16  1 S 2.11, 1 Cu 2.26

=====

Relative energies in meV per atom: a 0; b 281

=====

## a
DFT (GGA-PBE) results for a geometry-optimized CsCuTeS3 structure.

Output
DOS at the Fermi energy (states/eV/atom): 0.154

Cell: 9.3845 3.9946 9.5846 Å, 90.00 112.64 90.00°
Last column: nearest neighbours and their distance in Å.
Space group P2_1/m (No. 11)
Asymmetric unit:
Cs  0.2139  0.2500  0.2546 x2  7 S 3.51-3.65, 1 Cu 3.84
Cu  0.0742  0.2500  0.5821 x2  4 S 2.37-2.41, 2 Cu 2.59
Te  0.3254  0.7500  0.8411 x2  6 S 2.58-2.87
S  0.1330  0.2500  0.8499 x2  1 Cu 2.41
S  0.1972  0.7500  0.5496 x2  3 Cu 2.37-2.39, 1 Te 2.58
S  0.4828  0.7500  0.1645 x2  3 Te 2.70-2.87

=====

## b
DFT (GGA-PBE) results for a geometry-optimized CsCuTeS3 structure.

Output
DOS at the Fermi energy (states/eV/atom): 0.000

Cell: 9.3420 9.3420 9.3420 Å, 90.00 90.00 90.00°
Last column: nearest neighbours and their distance in Å.
Space group P2_13 (No. 198)
Asymmetric unit:
Cs  0.0903  0.4097  0.5903 x4  6 S 3.75-3.76, 1 Cu 3.85
Cu  0.1479  0.1479  0.1479 x4  3 S 2.24
Te  0.0710  0.9290  0.4290 x4  3 S 2.40
S  0.0232  0.6390  0.1849 x12  1 Cu 2.24, 1 Te 2.40

=====

Relative energies in meV per atom: a 88; b 0

=====

## a
DFT (GGA-PBE) results for a geometry-optimized CsCuSbTe2 structure.

Output
DOS at the Fermi energy (states/eV/atom): 0.451

Cell: 8.7793 5.7979 8.1765 Å, 90.00 110.79 90.00°
Last column: nearest neighbours and their distance in Å.
Space group P2/c (No. 13)
Asymmetric unit:
Cs  0.0000  0.2153  0.2500 x2  6 Te 3.84-3.92
Cu  0.5000  0.0000  0.0000 x2  2 Te 2.48
Sb  0.5000  0.3317  0.7500 x2  2 Cu 2.81, 2 Te 3.10
Te  0.2892  0.2937  0.9826 x4  1 Cu 2.48

=====

## b
DFT (GGA-PBE) results for a geometry-optimized CsCuSbTe2 structure.

Output
DOS at the Fermi energy (states/eV/atom): 0.655

Cell: 5.5983 5.5983 5.1003 Å, 90.00 90.00 90.00°
Last column: nearest neighbours and their distance in Å.
Space group P4/mmm (No. 123)
Asymmetric unit:
Cs  0.0000  0.0000  0.0000 x1  8 Te 3.79, 4 Sb 3.96
Cu  0.5000  0.5000  0.5000 x1  2 Sb 2.55, 4 Te 2.80
Sb  0.5000  0.5000  0.0000 x1  2 Cu 2.55
Te  0.0000  0.5000  0.5000 x2  2 Cu 2.80

=====

## c
DFT (GGA-PBE) results for a geometry-optimized CsCuSbTe2 structure.

Output
DOS at the Fermi energy (states/eV/atom): 1.533

Cell: 6.5855 6.5855 6.4716 Å, 90.00 90.00 90.00°
Last column: nearest neighbours and their distance in Å.
Space group P4/mmm (No. 123)
Asymmetric unit:
Cs  0.0000  0.0000  0.0000 x1  2 Sb 3.24, 4 Te 3.29
Cu  0.5000  0.5000  0.5000 x1  8 Te 4.62, 4 Sb 4.66
Sb  0.0000  0.0000  0.5000 x1  2 Cs 3.24
Te  0.0000  0.5000  0.0000 x2  2 Cs 3.29

=====

Relative energies in meV per atom: a 0; b 228; c 1816